{
  "formula": "MgBeAl",
  "functional": "PBE",
  "state": "optimized geometry",
  "magnetic_moment_mub_per_atom": 0.000,
  "spacegroup": "Ima2 (46)",
  "delta_e_f_ev_per_atom": 0.121,
  "crystal_system": "orthorhombic",
  "lattice": [[-3.394, -3.160, 1.600], [2.671, -4.961, -4.132], [3.290, -1.527, 3.960]],
  "species": ["Al", "Al", "Al", "Al", "Mg", "Mg", "Mg", "Mg", "Be", "Be", "Be", "Be"],
  "fractional_positions": [[0.750, 0.252, 0.474], [0.750, 0.248, 0.974], [0.250, 0.748, 0.474], [0.250, 0.752, 0.974], [0.750, 0.634, 0.222], [0.250, 0.134, 0.722], [0.250, 0.366, 0.222], [0.750, 0.866, 0.722], [0.000, 0.000, 0.228], [0.000, 0.500, 0.728], [0.500, 0.000, 0.228], [0.500, 0.500, 0.728]]
}

{
  "formula": "MgBeAl",
  "functional": "PBE",
  "state": "optimized geometry",
  "magnetic_moment_mub_per_atom": 0.000,
  "spacegroup": "P-1 (2)",
  "delta_e_f_ev_per_atom": 0.169,
  "crystal_system": "triclinic",
  "lattice": [[3.875, 0.061, -0.001], [1.947, 4.180, 0.019], [1.944, 1.509, 5.958]],
  "species": ["Al", "Al", "Be", "Be", "Mg", "Mg"],
  "fractional_positions": [[0.097, 0.183, 0.113], [0.903, 0.817, 0.887], [0.611, 0.447, 0.839], [0.389, 0.553, 0.161], [0.317, 0.260, 0.616], [0.683, 0.740, 0.384]]
}

{
  "formula": "MgBeAl2",
  "functional": "PBE",
  "state": "optimized geometry",
  "magnetic_moment_mub_per_atom": 0.000,
  "spacegroup": "C2/m (12)",
  "delta_e_f_ev_per_atom": 0.203,
  "crystal_system": "monoclinic",
  "lattice": [[-4.063, 2.505, -1.681], [-4.628, -0.154, -2.042], [-3.207, 0.158, 3.842]],
  "species": ["Mg", "Al", "Al", "Be"],
  "fractional_positions": [[0.250, 0.250, 0.250], [0.474, 0.474, 0.519], [0.026, 0.026, 0.981], [0.750, 0.750, 0.750]]
}